! LiHfScCl2 PBE relaxed; values from VASP
! Formation energy (no corrections)   -0.058 eV/atom
! Final energy   -22.18 eV/cell
! M_tot   3.41 μB/f.u.
&SYSTEM
  ibrav = 0, nat = 5, ntyp = 4
/
ATOMIC_SPECIES
Li 6.94 Li.upf
Hf 178.49 Hf.upf
Cl 35.45 Cl.upf
Sc 44.96 Sc.upf
ATOMIC_POSITIONS crystal
Li 0.5000 0.5000 0.5000
Hf 0.0000 0.5000 0.0000
Cl 0.0000 0.0000 0.5000
Cl 0.5000 0.0000 0.0000
Sc 0.0000 0.0000 0.0000
CELL_PARAMETERS angstrom
-3.4105 -3.3665 -1.0472
2.7726 -1.1267 -5.4079
2.7546 -3.4537 2.1318